{"formula": "Li2Cr3FeO8", "functional": "PBE+U", "state": "relaxed", "lattice": [[2.942, -5.093, 0.000], [2.942, 5.093, 0.000], [-0.093, 0.000, 9.546]], "species": ["Li", "Li", "Li", "Li", "Cr", "Cr", "Cr", "Cr", "Cr", "Cr", "Fe", "Fe", "O", "O", "O", "O", "O", "O", "O", "O", "O", "O", "O", "O", "O", "O", "O", "O"], "frac_coords": [[0.001, 0.999, 0.500], [0.326, 0.654, 0.401], [0.654, 0.326, 0.901], [0.999, 0.001, 0.000], [0.162, 0.332, 0.717], [0.162, 0.825, 0.717], [0.332, 0.162, 0.217], [0.655, 0.825, 0.718], [0.825, 0.162, 0.217], [0.825, 0.655, 0.218], [0.332, 0.669, 0.992], [0.669, 0.332, 0.492], [0.030, 0.515, 0.835], [0.159, 0.324, 0.111], [0.167, 0.843, 0.106], [0.323, 0.659, 0.608], [0.324, 0.159, 0.611], [0.464, 0.507, 0.841], [0.464, 0.956, 0.839], [0.507, 0.464, 0.341], [0.515, 0.030, 0.335], [0.659, 0.323, 0.108], [0.672, 0.844, 0.105], [0.843, 0.167, 0.606], [0.844, 0.672, 0.605], [0.956, 0.464, 0.339], [0.997, 0.998, 0.815], [0.998, 0.997, 0.315]], "energy_ev_per_atom": -6.882}